No. 1
Entry from the Alexandria database: an optimized crystal structure of CsTiAs3 (PBE).

Cell and atoms, written as CIF:
```
data_CsTiAs3
_cell_length_a 5.580
_cell_length_b 5.580
_cell_length_c 5.580
_cell_angle_alpha 90.00
_cell_angle_beta 90.00
_cell_angle_gamma 90.00
_space_group_name_H-M_alt 'P m -3 m'
_space_group_IT_number 221
_space_group_name_Hall '-P 4 2 3'
loop_
_atom_site_label
_atom_site_type_symbol
_atom_site_fract_x
_atom_site_fract_y
_atom_site_fract_z
Cs1 Cs 0.000 0.000 0.000
Ti1 Ti 0.500 0.500 0.500
As1 As 0.000 0.000 0.500
```

**Energy of formation**: 1883 meV/atom
**Calculated total energy**: -2.6561 eV per atom
**Energy above the lowest structure with this stoichiometry**: 1011 kJ/mol of formula units

***

No. 2
Entry from the Alexandria database: an optimized crystal structure of Cs3TiAs3 (PBE).

Cell and atoms, written as CIF:
```
data_Cs3TiAs3
_cell_length_a 7.530
_cell_length_b 15.995
_cell_length_c 11.129
_cell_angle_alpha 90.00
_cell_angle_beta 117.62
_cell_angle_gamma 90.00
_space_group_name_H-M_alt 'P 1 21/c 1'
_space_group_IT_number 14
_space_group_name_Hall '-P 2ybc'
loop_
_atom_site_label
_atom_site_type_symbol
_atom_site_fract_x
_atom_site_fract_y
_atom_site_fract_z
Cs1 Cs 0.108 0.142 0.493
Cs2 Cs 0.148 0.034 0.887
Cs3 Cs 0.359 0.706 0.579
Ti1 Ti 0.457 0.051 0.364
As1 As 0.229 0.151 0.191
As2 As 0.320 0.586 0.894
As3 As 0.436 0.607 0.297
```

**Energy of formation**: -512 meV/atom
**Calculated total energy**: -3.9983 eV per atom

***

No. 3
Entry from the Alexandria database: an optimized crystal structure of CsTiAs3 (PBE).

Cell and atoms, written as CIF:
```
data_CsTiAs3
_cell_length_a 5.084
_cell_length_b 5.084
_cell_length_c 5.084
_cell_angle_alpha 90.00
_cell_angle_beta 90.00
_cell_angle_gamma 90.00
_space_group_name_H-M_alt 'P m -3 m'
_space_group_IT_number 221
_space_group_name_Hall '-P 4 2 3'
loop_
_atom_site_label
_atom_site_type_symbol
_atom_site_fract_x
_atom_site_fract_y
_atom_site_fract_z
Cs1 Cs 0.000 0.000 0.000
Ti1 Ti 0.500 0.500 0.500
As1 As 0.000 0.500 0.500
```

**Energy of formation**: -212 meV/atom
**Calculated total energy**: -4.7511 eV per atom
**Energy above the lowest structure with this stoichiometry**: 0 kJ/mol of formula units

***

No. 4
Entry from the Alexandria database: an optimized crystal structure of CsTi2As2 (PBE).

Cell and atoms, written as CIF:
```
data_CsTi2As2
_cell_length_a 4.326
_cell_length_b 4.326
_cell_length_c 15.197
_cell_angle_alpha 90.00
_cell_angle_beta 90.00
_cell_angle_gamma 90.00
_space_group_name_H-M_alt 'I 4/m m m'
_space_group_IT_number 139
_space_group_name_Hall '-I 4 2'
loop_
_atom_site_label
_atom_site_type_symbol
_atom_site_fract_x
_atom_site_fract_y
_atom_site_fract_z
Cs1 Cs 0.000 0.000 0.000
Ti1 Ti 0.000 0.500 0.250
As1 As 0.000 0.000 0.339
```

**Energy of formation**: -682 meV/atom
**Calculated total energy**: -5.8707 eV per atom

***

No. 5
Entry from the Alexandria database: an optimized crystal structure of Cs2TiAs2 (PBE).

Cell and atoms, written as CIF:
```
data_Cs2TiAs2
_cell_length_a 7.897
_cell_length_b 14.614
_cell_length_c 6.683
_cell_angle_alpha 90.00
_cell_angle_beta 90.00
_cell_angle_gamma 90.00
_space_group_name_H-M_alt 'I b a m'
_space_group_IT_number 72
_space_group_name_Hall '-I 2 2c'
loop_
_atom_site_label
_atom_site_type_symbol
_atom_site_fract_x
_atom_site_fract_y
_atom_site_fract_z
Cs1 Cs 0.152 0.152 0.000
Ti1 Ti 0.000 0.500 0.250
As1 As 0.164 0.409 0.000
```

**Energy of formation**: -649 meV/atom
**Calculated total energy**: -4.4296 eV per atom

***

No. 6
Entry from the Alexandria database: an optimized crystal structure of CsTi3As (PBE).

Cell and atoms, written as CIF:
```
data_CsTi3As
_cell_length_a 4.968
_cell_length_b 4.968
_cell_length_c 4.968
_cell_angle_alpha 90.00
_cell_angle_beta 90.00
_cell_angle_gamma 90.00
_space_group_name_H-M_alt 'P m -3 m'
_space_group_IT_number 221
_space_group_name_Hall '-P 4 2 3'
loop_
_atom_site_label
_atom_site_type_symbol
_atom_site_fract_x
_atom_site_fract_y
_atom_site_fract_z
Cs1 Cs 0.000 0.000 0.000
Ti1 Ti 0.000 0.500 0.500
As1 As 0.500 0.500 0.500
```

**Energy of formation**: 712 meV/atom
**Calculated total energy**: -5.1252 eV per atom

***

No. 7
Entry from the Alexandria database: an optimized crystal structure of CsTl2As2 (PBE).

Cell and atoms, written as CIF:
```
data_CsTl2As2
_cell_length_a 9.279
_cell_length_b 9.279
_cell_length_c 4.248
_cell_angle_alpha 90.00
_cell_angle_beta 90.00
_cell_angle_gamma 90.00
_space_group_name_H-M_alt 'P 4/m b m'
_space_group_IT_number 127
_space_group_name_Hall '-P 4 2ab'
loop_
_atom_site_label
_atom_site_type_symbol
_atom_site_fract_x
_atom_site_fract_y
_atom_site_fract_z
Cs1 Cs 0.000 0.000 0.000
Tl1 Tl 0.148 0.352 0.500
As1 As 0.092 0.592 0.000
```

**Energy of formation**: -136 meV/atom
**Calculated total energy**: -3.1126 eV per atom
**Energy above the lowest structure with this stoichiometry**: 32 kJ/mol of formula units

***

No. 8
Entry from the Alexandria database: an optimized crystal structure of CsTl2As (PBE).

Cell and atoms, written as CIF:
```
data_CsTl2As
_cell_length_a 4.7705
_cell_length_b 4.7705
_cell_length_c 23.4047
_cell_angle_alpha 90.00
_cell_angle_beta 90.00
_cell_angle_gamma 120.00
_space_group_name_H-M_alt 'R -3 m'
_space_group_IT_number 166
_space_group_name_Hall '-R 3 2"'
loop_
_atom_site_label
_atom_site_type_symbol
_atom_site_fract_x
_atom_site_fract_y
_atom_site_fract_z
Cs1 Cs 0.0000 0.0000 0.0000
Tl1 Tl 0.0000 0.0000 0.2215
As1 As 0.0000 0.0000 0.5000
```

**Energy of formation**: -159 meV/atom
**Calculated total energy**: -2.7182 eV per atom
**Energy above the lowest structure with this stoichiometry**: 6 kJ/mol of formula units

***

No. 9
Entry from the Alexandria database: an optimized crystal structure of CsTl3As (PBE).

Cell and atoms, written as CIF:
```
data_CsTl3As
_cell_length_a 5.929
_cell_length_b 5.929
_cell_length_c 5.929
_cell_angle_alpha 90.00
_cell_angle_beta 90.00
_cell_angle_gamma 90.00
_space_group_name_H-M_alt 'P m -3 m'
_space_group_IT_number 221
_space_group_name_Hall '-P 4 2 3'
loop_
_atom_site_label
_atom_site_type_symbol
_atom_site_fract_x
_atom_site_fract_y
_atom_site_fract_z
Cs1 Cs 0.000 0.000 0.000
Tl1 Tl 0.000 0.500 0.500
As1 As 0.500 0.500 0.500
```

**Energy of formation**: 112 meV/atom
**Calculated total energy**: -2.4086 eV per atom
**Energy above the lowest structure with this stoichiometry**: 126 kJ/mol of formula units

***

No. 10
Entry from the Alexandria database: an optimized crystal structure of CsTl2As (PBE).

Cell and atoms, written as CIF:
```
data_CsTl2As
_cell_length_a 9.018
_cell_length_b 8.328
_cell_length_c 9.782
_cell_angle_alpha 90.00
_cell_angle_beta 122.56
_cell_angle_gamma 90.00
_space_group_name_H-M_alt 'P 1 21/c 1'
_space_group_IT_number 14
_space_group_name_Hall '-P 2ybc'
loop_
_atom_site_label
_atom_site_type_symbol
_atom_site_fract_x
_atom_site_fract_y
_atom_site_fract_z
Cs1 Cs 0.029 0.001 0.221
Tl1 Tl 0.302 0.141 0.661
Tl2 Tl 0.467 0.693 0.466
As1 As 0.275 0.715 0.128
```

**Energy of formation**: -145 meV/atom
**Calculated total energy**: -2.7038 eV per atom
**Energy above the lowest structure with this stoichiometry**: 11 kJ/mol of formula units

***

No. 11
Entry from the Alexandria database: an optimized crystal structure of Cs4Tl5As (PBE).

Cell and atoms, written as CIF:
```
data_Cs4Tl5As
_cell_length_a 11.145
_cell_length_b 11.145
_cell_length_c 7.884
_cell_angle_alpha 90.00
_cell_angle_beta 90.00
_cell_angle_gamma 90.00
_space_group_name_H-M_alt 'I 4'
_space_group_IT_number 79
_space_group_name_Hall 'I 4'
loop_
_atom_site_label
_atom_site_type_symbol
_atom_site_fract_x
_atom_site_fract_y
_atom_site_fract_z
Cs1 Cs 0.059 0.716 0.000
Tl1 Tl 0.000 0.000 0.285
Tl2 Tl 0.074 0.786 0.511
As1 As 0.000 0.000 0.696
```

**Energy of formation**: -194 meV/atom
**Calculated total energy**: -2.1836 eV per atom

***

No. 12
Entry from the Alexandria database: an optimized crystal structure of CsTl2As (PBE).

Cell and atoms, written as CIF:
```
data_CsTl2As
_cell_length_a 9.237
_cell_length_b 9.237
_cell_length_c 7.359
_cell_angle_alpha 90.00
_cell_angle_beta 90.00
_cell_angle_gamma 90.00
_space_group_name_H-M_alt 'I -4 2 d'
_space_group_IT_number 122
_space_group_name_Hall 'I -4 2bw'
loop_
_atom_site_label
_atom_site_type_symbol
_atom_site_fract_x
_atom_site_fract_y
_atom_site_fract_z
Cs1 Cs 0.000 0.000 0.000
Tl1 Tl 0.171 0.250 0.625
As1 As 0.000 0.000 0.500
```

**Energy of formation**: -101 meV/atom
**Calculated total energy**: -2.6597 eV per atom
**Energy above the lowest structure with this stoichiometry**: 28 kJ/mol of formula units

***

Please write out number 12 again, unchanged.
Entry from the Alexandria database: an optimized crystal structure of CsTl2As (PBE).

Cell and atoms, written as CIF:
```
data_CsTl2As
_cell_length_a 9.237
_cell_length_b 9.237
_cell_length_c 7.359
_cell_angle_alpha 90.00
_cell_angle_beta 90.00
_cell_angle_gamma 90.00
_space_group_name_H-M_alt 'I -4 2 d'
_space_group_IT_number 122
_space_group_name_Hall 'I -4 2bw'
loop_
_atom_site_label
_atom_site_type_symbol
_atom_site_fract_x
_atom_site_fract_y
_atom_site_fract_z
Cs1 Cs 0.000 0.000 0.000
Tl1 Tl 0.171 0.250 0.625
As1 As 0.000 0.000 0.500
```

**Energy of formation**: -101 meV/atom
**Calculated total energy**: -2.6597 eV per atom
**Energy above the lowest structure with this stoichiometry**: 28 kJ/mol of formula units